# LiH2

A relaxed LiH2 crystal (PBE-GGA, the Alexandria database).

Computed properties:
Its energy above the most stable polymorph in this dataset is 0.46 eV/f.u. The space-group type is Fm-3m.

a = 4.269 Å, b = 4.269 Å, c = 4.269 Å
α = 60.00°, β = 60.00°, γ = 60.00°
Sites, in units of the cell vectors:
H1 0.310 0.690 0.310
H2 0.690 0.310 0.310
H3 0.310 0.690 0.690
H4 0.690 0.310 0.690
H5 0.690 0.690 0.310
H6 0.310 0.310 0.690
Li1 0.000 0.000 0.000
Li2 0.750 0.750 0.750
Li3 0.250 0.250 0.250